VASP calculation (PBE with a Hubbard U) on a relaxed structure of Mn3ZnO10.

```
Mn3ZnO10
1.0
7.743 0.000 0.000
-3.863 6.722 0.000
-0.366 -3.890 7.990
Mn Zn O
6 2 20
direct
0.072 0.357 0.000
0.214 0.071 0.999
0.358 0.785 0.000
0.642 0.215 0.000
0.786 0.929 0.001
0.928 0.643 0.000
0.434 0.390 0.811
0.566 0.610 0.189
0.067 0.192 0.121
0.081 0.526 0.879
0.191 0.211 0.865
0.207 0.902 0.119
0.276 0.283 0.532
0.336 0.629 0.132
0.347 0.411 0.467
0.363 0.955 0.878
0.416 0.979 0.513
0.490 0.313 0.132
0.510 0.687 0.868
0.584 0.021 0.487
0.637 0.045 0.122
0.653 0.589 0.533
0.664 0.371 0.868
0.724 0.717 0.468
0.793 0.098 0.881
0.809 0.789 0.135
0.919 0.474 0.121
0.933 0.808 0.879
```

- Total energy: -0.4579 Ry/atom